Record 1
# AlC2

A relaxed AlC2 crystal (GGA-PBE, Alexandria).

The structure in POSCAR format:
```
AlC2
1.0
-0.115 -4.142 1.067
2.481 1.504 3.145
-3.841 1.866 -0.270
Al C
2 4
direct
0.250 0.250 0.000
0.750 0.750 0.000
0.900 0.600 0.500
0.400 0.900 0.300
0.100 0.400 0.500
0.600 0.100 0.700
```

Calculated values
Crystal system: tetragonal
Space-group type: I4/mcm, No. 140
ΔH_f (0 K): 3.73 eV/f.u.
Polymorph energy (0 for the lowest one): 2.870 eV per formula unit


Record 2
# BiMo2PdC

A relaxed BiMo2PdC crystal (GGA-PBE, Alexandria).

The structure in POSCAR format:
```
BiMo2PdC
1.0
4.116 0.000 0.000
0.000 5.061 0.000
0.000 0.000 4.116
C Bi Mo Pd
1 1 2 1
direct
0.000 0.000 0.000
0.000 0.500 0.000
0.000 0.000 0.500
0.500 0.000 0.000
0.500 0.500 0.500
```

Calculated values
Crystal system: tetragonal
Space-group type: P4/mmm, No. 123
ΔH_f (0 K): 2.92 eV/f.u.


Record 3
# Hf3FeBr

A relaxed Hf3FeBr crystal (GGA-PBE, Alexandria).

The structure in POSCAR format:
```
Hf3FeBr
1.0
4.844 0.000 0.000
0.000 4.844 0.000
0.000 0.000 4.844
Hf Br Fe
3 1 1
direct
0.000 0.500 0.000
0.500 0.000 0.000
0.000 0.000 0.500
0.500 0.500 0.500
0.000 0.000 0.000
```

Calculated values
Crystal system: cubic
Space-group type: Pm-3m, No. 221
Polymorph energy (0 for the lowest one): 0.000 eV per formula unit